{
  "formula": "Pm6SiS12",
  "functional": "PBE",
  "state": "relaxed",
  "lattice_angstrom": [[5.965, 3.444, 3.772], [-5.965, 3.444, 3.772], [0.000, -6.888, 3.772]],
  "species": ["Pm", "Pm", "Pm", "Pm", "Pm", "Pm", "Si", "S", "S", "S", "S", "S", "S", "S", "S", "S", "S", "S", "S"],
  "fractional_positions": [[0.133, 0.290, 0.630], [0.290, 0.630, 0.133], [0.370, 0.867, 0.710], [0.630, 0.133, 0.290], [0.710, 0.370, 0.867], [0.867, 0.710, 0.370], [0.000, 0.000, 0.000], [0.023, 0.943, 0.702], [0.057, 0.298, 0.977], [0.180, 0.581, 0.444], [0.298, 0.977, 0.057], [0.419, 0.556, 0.820], [0.444, 0.180, 0.581], [0.556, 0.820, 0.419], [0.581, 0.444, 0.180], [0.702, 0.023, 0.943], [0.820, 0.419, 0.556], [0.943, 0.702, 0.023], [0.977, 0.057, 0.298]],
  "raw_formation_energy_ev_per_atom": -1.59,
  "energy_ev_per_cell": -113.7
}

***

{
  "formula": "Pm4SiS2",
  "functional": "PBE",
  "state": "relaxed",
  "lattice_angstrom": [[2.037, -6.578, 0.000], [2.037, 6.578, 0.000], [0.000, 0.000, 13.545]],
  "species": ["Pm", "Pm", "Pm", "Pm", "Pm", "Pm", "Pm", "Pm", "Si", "Si", "S", "S", "S", "S"],
  "fractional_positions": [[0.000, 0.000, 0.000], [0.000, 0.000, 0.500], [0.276, 0.724, 0.623], [0.276, 0.724, 0.877], [0.447, 0.553, 0.250], [0.553, 0.447, 0.750], [0.724, 0.276, 0.123], [0.724, 0.276, 0.377], [0.107, 0.893, 0.250], [0.893, 0.107, 0.750], [0.363, 0.637, 0.062], [0.363, 0.637, 0.438], [0.637, 0.363, 0.562], [0.637, 0.363, 0.938]],
  "raw_formation_energy_ev_per_atom": -1.38,
  "energy_ev_per_cell": -84.7
}

***

{
  "formula": "Pm2SiS",
  "functional": "PBE",
  "state": "relaxed",
  "lattice_angstrom": [[2.039, 1.177, 7.197], [-2.039, 1.177, 7.197], [0.000, -2.354, 7.197]],
  "species": ["Pm", "Pm", "Si", "S"],
  "fractional_positions": [[0.000, 0.000, 0.000], [0.173, 0.173, 0.173], [0.587, 0.587, 0.587], [0.417, 0.417, 0.417]],
  "raw_formation_energy_ev_per_atom": -1.23,
  "relative_energy_mev_per_atom": 180.0,
  "energy_ev_per_cell": -24.0
}

***

Repeat the first record exactly.
{
  "formula": "Pm6SiS12",
  "functional": "PBE",
  "state": "relaxed",
  "lattice_angstrom": [[5.965, 3.444, 3.772], [-5.965, 3.444, 3.772], [0.000, -6.888, 3.772]],
  "species": ["Pm", "Pm", "Pm", "Pm", "Pm", "Pm", "Si", "S", "S", "S", "S", "S", "S", "S", "S", "S", "S", "S", "S"],
  "fractional_positions": [[0.133, 0.290, 0.630], [0.290, 0.630, 0.133], [0.370, 0.867, 0.710], [0.630, 0.133, 0.290], [0.710, 0.370, 0.867], [0.867, 0.710, 0.370], [0.000, 0.000, 0.000], [0.023, 0.943, 0.702], [0.057, 0.298, 0.977], [0.180, 0.581, 0.444], [0.298, 0.977, 0.057], [0.419, 0.556, 0.820], [0.444, 0.180, 0.581], [0.556, 0.820, 0.419], [0.581, 0.444, 0.180], [0.702, 0.023, 0.943], [0.820, 0.419, 0.556], [0.943, 0.702, 0.023], [0.977, 0.057, 0.298]],
  "raw_formation_energy_ev_per_atom": -1.59,
  "energy_ev_per_cell": -113.7
}